Below is a relaxed structure of Sr4Fe3MoO12, with properties calculated at the GGA+U level.

Unit cell a=6.877 b=6.877 c=6.877 alpha=109.47 beta=109.47 gamma=109.47
Site moments in Bohr magnetons follow the coordinates.
Element x y z (fractional)
Sr (0.000, 0.000, 0.500)  0.00
Sr (0.500, 0.500, 0.500)  0.00
Sr (0.500, 0.000, 0.000)  0.00
Sr (0.000, 0.500, 0.000)  0.00
Fe (0.500, 0.500, 0.000)  4.22
Fe (0.000, 0.500, 0.500)  4.22
Fe (0.500, 0.000, 0.500)  4.22
Mo (0.000, 0.000, 0.000)  0.09
O (0.243, 0.243, 0.000)  0.06
O (0.757, 0.757, 0.000)  0.06
O (0.750, 0.250, 0.500)  0.11
O (0.250, 0.750, 0.500)  0.11
O (0.500, 0.250, 0.750)  0.11
O (0.000, 0.757, 0.757)  0.06
O (0.000, 0.243, 0.243)  0.06
O (0.500, 0.750, 0.250)  0.11
O (0.250, 0.500, 0.750)  0.11
O (0.757, 0.000, 0.757)  0.06
O (0.750, 0.500, 0.250)  0.11
O (0.243, 0.000, 0.243)  0.06

Values from the calculation:
Total moment   13.99 μB per formula unit
N(E_F)   1.289 states/eV/cell
Space group   Im-3m
Electronic total energy   -6.6308 eV/atom